ScCrRu2: relaxed, GGA-PBE.

Output
Energy of formation: -0.20 eV per atom
E_tot: -35.32 eV per cell
Volume: 14.9 A^3/atom

Cell: 3.078 3.078 6.282 Å, 90.00 90.00 90.00°
Fractional coordinates of all 4 atoms:
Sc  0.000  0.000  0.000
Cr  0.000  0.000  0.500
Ru  0.500  0.500  0.273
Ru  0.500  0.500  0.727

---

InAg2Cl5: relaxed, GGA-PBE.

Output
Raw formation energy: -5.95 eV per formula unit
Relative energy among the computed polymorphs: 0.0 meV/atom
E_tot: -23.63 eV per cell
Volume: 34.6 A^3/atom

Cell: 6.557 7.201 7.207 Å, 77.95 64.13 64.54°
Fractional coordinates of all 8 atoms:
In  0.000  0.000  0.000
Ag  0.222  0.420  0.979
Ag  0.222  0.980  0.420
Cl  0.103  0.743  0.742
Cl  0.211  0.711  0.185
Cl  0.214  0.185  0.711
Cl  0.558  0.095  0.093
Cl  0.907  0.253  0.255

---

La2PbO6: relaxed, GGA-PBE.

Output
Raw formation energy: -18.23 eV per formula unit
E_tot: -61.54 eV per cell
Volume: 15.0 A^3/atom

Cell: 6.629 6.629 3.974 Å, 101.89 101.89 52.58°
Fractional coordinates of all 9 atoms:
La  0.169  0.169  0.187
La  0.831  0.831  0.813
Pb  0.500  0.500  0.500
O  0.106  0.590  0.325
O  0.267  0.733  0.000
O  0.410  0.894  0.675
O  0.590  0.106  0.325
O  0.733  0.267  0.000
O  0.894  0.410  0.675

---

TbY3Tm6Th2: relaxed, GGA-PBE.

Output
Energy of formation: 0.03 eV per atom
E_tot: -65.37 eV per cell
Volume: 31.1 A^3/atom

Cell: 6.128 6.128 11.666 Å, 95.03 95.03 119.95°
Fractional coordinates of all 12 atoms:
Tb  0.000  0.000  0.000
Y  0.166  0.834  0.500
Y  0.500  0.500  0.500
Y  0.834  0.166  0.500
Tm  0.083  0.420  0.247
Tm  0.255  0.255  0.753
Tm  0.420  0.083  0.247
Tm  0.580  0.917  0.753
Tm  0.745  0.745  0.247
Tm  0.917  0.580  0.753
Th  0.333  0.667  0.000
Th  0.667  0.333  0.000

---

Look up the volume of the second one.
34.6 A^3/atom

---

volume of number 2 (InAg2Cl5)?
34.6 A^3/atom